[1]
YIrRuRh2: optimized geometry, PBE.

Volume   20.9 A^3/atom
D(E_F)   5.5 states/eV/cell
Energy of formation   0.59 eV per atom

Cell: 4.6975 4.6975 4.7369 Å, 90.00 90.00 90.00°
Space group P4/mmm (No. 123)
Symmetry-distinct sites (fractional):
1 Y 0.0000 0.0000 0.0000 (multiplicity 1)
2 Ir 0.5000 0.5000 0.0000 (multiplicity 1)
3 Ru 0.5000 0.5000 0.5000 (multiplicity 1)
4 Rh 0.0000 0.5000 0.5000 (multiplicity 2)

---

[2]
ZnIrRuRh: optimized geometry, PBE.

Volume   14.6 A^3/atom
D(E_F)   19.6 states/eV/cell
Energy of formation   0.17 eV per atom

Cell: 6.1574 6.1574 6.1574 Å, 90.00 90.00 90.00°
Space group F-43m (No. 216)
Symmetry-distinct sites (fractional):
1 Zn 0.0000 0.0000 0.0000 (multiplicity 4)
2 Ir 0.2500 0.2500 0.2500 (multiplicity 4)
3 Ru 0.0000 0.0000 0.5000 (multiplicity 4)
4 Rh 0.2500 0.2500 0.7500 (multiplicity 4)

---

[3]
IrRh3S: optimized geometry, PBE.

Volume   21.1 A^3/atom
Formation energy from raw total energies   1.5421 eV/atom
D(E_F)   8.5 states/eV/cell

Cell: 4.7215 4.7215 4.7215 Å, 90.00 90.00 90.00°
Space group Pm-3m (No. 221)
Symmetry-distinct sites (fractional):
1 Ir 0.0000 0.0000 0.0000 (multiplicity 1)
2 Rh 0.0000 0.0000 0.5000 (multiplicity 3)
3 S 0.5000 0.5000 0.5000 (multiplicity 1)

---

[4]
IrRh3S: optimized geometry, PBE.

Volume   16.2 A^3/atom
Formation energy from raw total energies   0.6038 eV/atom
D(E_F)   4.3 states/eV/cell

Cell: 4.3231 4.3231 4.3231 Å, 90.00 90.00 90.00°
Space group Pm-3m (No. 221)
Symmetry-distinct sites (fractional):
1 Ir 0.0000 0.0000 0.0000 (multiplicity 1)
2 Rh 0.0000 0.5000 0.5000 (multiplicity 3)
3 S 0.5000 0.5000 0.5000 (multiplicity 1)

---

[5]
IrRhS3: optimized geometry, PBE.

Volume   19.6 A^3/atom
Formation energy from raw total energies   0.9697 eV/atom
D(E_F)   5.9 states/eV/cell

Cell: 4.6115 4.6115 4.6115 Å, 90.00 90.00 90.00°
Space group Pm-3m (No. 221)
Symmetry-distinct sites (fractional):
1 Ir 0.0000 0.0000 0.0000 (multiplicity 1)
2 Rh 0.5000 0.5000 0.5000 (multiplicity 1)
3 S 0.0000 0.0000 0.5000 (multiplicity 3)

---

[6]
IrRh2S: optimized geometry, PBE.

Volume   19.2 A^3/atom
Formation energy from raw total energies   0.4849 eV/atom
D(E_F)   13.0 states/eV/cell

Cell: 5.0128 5.0128 12.2469 Å, 90.00 90.00 90.00°
Space group I-42d (No. 122)
Symmetry-distinct sites (fractional):
1 Ir 0.0000 0.0000 0.0000 (multiplicity 4)
2 Rh 0.2095 0.2500 0.6250 (multiplicity 8)
3 S 0.0000 0.0000 0.5000 (multiplicity 4)

---

[7]
IrRhS2: optimized geometry, PBE.

Volume   18.4 A^3/atom
Formation energy from raw total energies   -0.0824 eV/atom
D(E_F)   9.8 states/eV/cell

Cell: 5.3233 5.3233 10.4016 Å, 90.00 90.00 90.00°
Space group I-42d (No. 122)
Symmetry-distinct sites (fractional):
1 Ir 0.0000 0.0000 0.0000 (multiplicity 4)
2 Rh 0.0000 0.0000 0.5000 (multiplicity 4)
3 S 0.2457 0.2500 0.1250 (multiplicity 8)

---

[8]
IrRhS3: optimized geometry, PBE.

Volume   17.3 A^3/atom
Formation energy from raw total energies   -0.1175 eV/atom
D(E_F)   7.4 states/eV/cell

Cell: 11.1362 4.2262 7.4705 Å, 90.00 99.94 90.00°
Space group C2/m (No. 12)
Symmetry-distinct sites (fractional):
1 Ir 0.1330 0.0000 0.3845 (multiplicity 4)
2 Rh 0.1225 0.5000 0.9086 (multiplicity 4)
3 S 0.0787 0.0000 0.7178 (multiplicity 4)
4 S 0.1549 0.5000 0.4891 (multiplicity 4)
5 S 0.1693 0.0000 0.0947 (multiplicity 4)